No. 1
Density functional theory data (GGA-PBE) for a relaxed ZrHgSb crystal.

Structure (POSCAR):
```
ZrHgSb
1.0
0.0000 2.4725 7.4796
2.0307 0.0000 7.4796
2.0307 2.4725 0.0000
Zr Hg Sb
1 1 1
Cartesian
0.0000 0.0000 0.0000
2.0307 2.4725 9.6635
2.0307 2.4725 5.2783
```

For the raw total energy, the calculation gives -4.46 eV per atom. Its crystal system is orthorhombic. The value obtained for the energy relative to the lowest polymorph listed for this composition is 0.147 eV/atom. Its space group is Fmm2 (42). Its uncorrected formation energy is -0.13 eV/atom.



No. 2
Density functional theory data (GGA-PBE) for a relaxed ZrHg4Sb crystal.

Structure (POSCAR):
```
ZrHg4Sb
1.0
0.0000 4.1723 4.1723
4.1723 0.0000 4.1723
4.1723 4.1723 0.0000
Zr Hg Sb
1 4 1
Cartesian
0.0000 0.0000 0.0000
5.2171 3.1275 3.1275
3.1275 5.2171 3.1275
3.1275 3.1275 5.2171
5.2171 5.2171 5.2171
2.0862 2.0862 2.0862
```

For the raw total energy, the calculation gives -2.02 eV per atom. Its crystal system is cubic. Its space group is F-43m (216). Its uncorrected formation energy is 0.30 eV/atom.



No. 3
Density functional theory data (GGA-PBE) for a relaxed ZrHgSb crystal.

Structure (POSCAR):
```
ZrHgSb
1.0
-1.6787 1.9814 5.2579
1.6787 -1.9814 5.2579
1.6787 1.9814 -5.2579
Zr Hg Sb
1 1 1
Cartesian
0.0000 0.0000 0.0000
0.0000 0.0000 6.9528
0.0000 0.0000 3.5865
```

For the raw total energy, the calculation gives -4.48 eV per atom. Its crystal system is orthorhombic. The value obtained for the energy relative to the lowest polymorph listed for this composition is 0.120 eV/atom. Its space group is Imm2 (44). Its uncorrected formation energy is -0.16 eV/atom.



No. 4
Density functional theory data (GGA-PBE) for a relaxed Zr2Hg2Sb crystal.

Structure (POSCAR):
```
Zr2Hg2Sb
1.0
8.4419 0.0000 0.0000
0.0000 8.4419 0.0000
0.0000 0.0000 3.3243
Zr Hg Sb
4 4 2
Cartesian
1.4496 2.7714 0.0000
2.7714 6.9923 0.0000
5.6705 1.4496 0.0000
6.9923 5.6705 0.0000
1.0588 5.2798 1.6621
3.1621 1.0588 1.6621
5.2798 7.3830 1.6621
7.3830 3.1621 1.6621
0.0000 0.0000 1.6621
4.2209 4.2209 1.6621
```

For the raw total energy, the calculation gives -4.32 eV per atom. Its crystal system is tetragonal. The value obtained for the energy relative to the lowest polymorph listed for this composition is 0.232 eV/atom. Its space group is P4/mbm (127). Its uncorrected formation energy is 0.05 eV/atom.



No. 5
Density functional theory data (GGA-PBE) for a relaxed ZrHgSb crystal.

Structure (POSCAR):
```
ZrHgSb
1.0
0.0000 3.4465 3.4465
3.4465 0.0000 3.4465
3.4465 3.4465 0.0000
Zr Hg Sb
1 1 1
Cartesian
0.0000 0.0000 0.0000
3.4465 3.4465 3.4465
5.1698 5.1698 5.1698
```

For the raw total energy, the calculation gives -4.11 eV per atom. Its crystal system is cubic. The value obtained for the energy relative to the lowest polymorph listed for this composition is 0.496 eV/atom. Its space group is F-43m (216). Its uncorrected formation energy is 0.22 eV/atom.



No. 6
Density functional theory data (GGA-PBE) for a relaxed Zr4HgSb crystal.

Structure (POSCAR):
```
Zr4HgSb
1.0
0.0000 4.1111 4.1111
4.1111 0.0000 4.1111
4.1111 4.1111 0.0000
Zr Hg Sb
4 1 1
Cartesian
1.0266 1.0266 1.0266
3.0845 3.0845 1.0266
3.0845 1.0266 3.0845
1.0266 3.0845 3.0845
6.1666 6.1666 6.1666
4.1111 4.1111 4.1111
```

For the raw total energy, the calculation gives -6.28 eV per atom. Its crystal system is cubic. Its space group is F-43m (216). Its uncorrected formation energy is 0.15 eV/atom.



No. 7
Density functional theory data (GGA-PBE) for a relaxed ZrHgSb crystal.

Structure (POSCAR):
```
ZrHgSb
1.0
3.3258 0.0000 0.0000
-1.6629 2.8803 0.0000
0.0000 0.0000 7.6300
Zr Hg Sb
1 1 1
Cartesian
0.0000 0.0000 0.0000
1.6629 0.9601 2.4050
0.0000 1.9202 5.2315
```

For the raw total energy, the calculation gives -4.42 eV per atom. Its crystal system is trigonal. The value obtained for the energy relative to the lowest polymorph listed for this composition is 0.186 eV/atom. Its space group is P3m1 (156). Its uncorrected formation energy is -0.09 eV/atom.



No. 8
Density functional theory data (GGA-PBE) for a relaxed ZrHgSb crystal.

Structure (POSCAR):
```
ZrHgSb
1.0
-1.5926 1.5926 7.4639
1.5926 -1.5926 7.4639
1.5926 1.5926 -7.4639
Zr Hg Sb
1 1 1
Cartesian
0.0000 0.0000 0.0000
0.0000 0.0000 9.5782
0.0000 0.0000 5.2730
```

For the raw total energy, the calculation gives -4.44 eV per atom. Its crystal system is tetragonal. The value obtained for the energy relative to the lowest polymorph listed for this composition is 0.166 eV/atom. Its space group is I4mm (107). Its uncorrected formation energy is -0.11 eV/atom.



No. 9
Density functional theory data (GGA-PBE) for a relaxed ZrHgSb crystal.

Structure (POSCAR):
```
ZrHgSb
1.0
4.0920 0.0000 0.0000
0.0000 4.0920 0.0000
0.0000 0.0000 8.6843
Zr Hg Sb
2 2 2
Cartesian
1.0230 1.0230 1.8476
3.0690 3.0690 6.8367
1.0230 3.0690 4.3421
3.0690 1.0230 4.3421
1.0230 1.0230 7.4891
3.0690 3.0690 1.1952
```

For the raw total energy, the calculation gives -4.60 eV per atom. Its crystal system is tetragonal. The value obtained for the energy relative to the lowest polymorph listed for this composition is 0.000 eV/atom. Its space group is P4/nmm (129). Its uncorrected formation energy is -0.28 eV/atom.



No. 10
Density functional theory data (GGA-PBE) for a relaxed Zr2HgSb2 crystal.

Structure (POSCAR):
```
Zr2HgSb2
1.0
8.0934 0.0000 0.0000
0.0000 8.0934 0.0000
0.0000 0.0000 3.7148
Zr Hg Sb
4 2 4
Cartesian
1.1404 2.9063 0.0000
2.9063 6.9530 0.0000
5.1871 1.1404 0.0000
6.9530 5.1871 0.0000
0.0000 0.0000 1.8574
4.0467 4.0467 1.8574
1.2114 5.2581 1.8574
2.8353 1.2114 1.8574
5.2581 6.8820 1.8574
6.8820 2.8353 1.8574
```

For the raw total energy, the calculation gives -5.43 eV per atom. Its crystal system is tetragonal. The value obtained for the energy relative to the lowest polymorph listed for this composition is 0.181 eV/atom. Its space group is P4/mbm (127). Its uncorrected formation energy is -0.31 eV/atom.



No. 11
Density functional theory data (GGA-PBE) for a relaxed Zr2HgSb2 crystal.

Structure (POSCAR):
```
Zr2HgSb2
1.0
7.9392 0.0000 0.0000
0.0000 7.9392 0.0000
0.0000 0.0000 3.8268
Zr Hg Sb
4 2 4
Cartesian
1.1350 2.8346 0.0000
2.8346 6.8042 0.0000
5.1046 1.1350 0.0000
6.8042 5.1046 0.0000
0.0000 0.0000 0.0000
3.9696 3.9696 0.0000
1.2055 5.1752 1.9134
2.7641 1.2055 1.9134
5.1752 6.7337 1.9134
6.7337 2.7641 1.9134
```

For the raw total energy, the calculation gives -5.62 eV per atom. Its crystal system is tetragonal. The value obtained for the energy relative to the lowest polymorph listed for this composition is 0.000 eV/atom. Its space group is P4/mbm (127). Its uncorrected formation energy is -0.49 eV/atom.



No. 12
Density functional theory data (GGA-PBE) for a relaxed ZrHgSb crystal.

Structure (POSCAR):
```
ZrHgSb
1.0
0.0000 3.4579 3.4579
3.4579 0.0000 3.4579
3.4579 3.4579 0.0000
Zr Hg Sb
1 1 1
Cartesian
0.0000 0.0000 0.0000
1.7290 1.7290 1.7290
5.1869 5.1869 5.1869
```

For the raw total energy, the calculation gives -4.37 eV per atom. Its crystal system is cubic. The value obtained for the energy relative to the lowest polymorph listed for this composition is 0.236 eV/atom. Its space group is F-43m (216). Its uncorrected formation energy is -0.04 eV/atom.